Entry 1:
An optimized crystal structure of Ti4Ge2Os, computed with GGA-PBE.

Lattice parameters (Å, degrees): 7.5759 7.5759 7.5759 144.73 144.73 50.74
Element x y z (fractional)
Ti: 0.0000 0.5000 0.5000
Ti: 0.1794 0.1794 0.0000
Ti: 0.5000 0.0000 0.5000
Ti: 0.8206 0.8206 0.0000
Ge: 0.3677 0.3677 0.0000
Ge: 0.6323 0.6323 0.0000
Os: 0.0000 0.0000 0.0000

Calculated values
Its density of states at the Fermi level is 8.8 states/eV/cell. The space group is I4/mmm (139).

Entry 2:
An optimized crystal structure of TiGeOs2, computed with GGA-PBE.

Lattice parameters (Å, degrees): 9.1008 9.1008 9.1008 155.25 155.25 35.28
Element x y z (fractional)
Ti: 0.0000 0.0000 0.0000
Ti: 0.7500 0.2500 0.5000
Ge: 0.2500 0.7500 0.5000
Ge: 0.5000 0.5000 0.0000
Os: 0.0968 0.6250 0.9718
Os: 0.3750 0.3468 0.4718
Os: 0.6532 0.1250 0.0282
Os: 0.8750 0.9032 0.5282

Calculated values
Its density of states at the Fermi level is 6.0 states/eV/cell. The space group is I-42d (122).

Entry 3:
An optimized crystal structure of TiGe3Os, computed with GGA-PBE.

Lattice parameters (Å, degrees): 4.7784 4.7784 4.7784 90.00 90.00 90.00
Element x y z (fractional)
Ti: 0.0000 0.0000 0.0000
Ge: 0.0000 0.5000 0.5000
Ge: 0.5000 0.0000 0.5000
Ge: 0.5000 0.5000 0.0000
Os: 0.5000 0.5000 0.5000

Calculated values
Its density of states at the Fermi level is 16.2 states/eV/cell. The space group is Pm-3m (221).

Entry 4:
An optimized crystal structure of TiGeOs2, computed with GGA-PBE.

Lattice parameters (Å, degrees): 4.3013 4.3013 3.1153 90.00 90.00 90.00
Element x y z (fractional)
Ti: 0.0000 0.0000 0.0000
Ge: 0.5000 0.5000 0.0000
Os: 0.0000 0.5000 0.5000
Os: 0.5000 0.0000 0.5000

Calculated values
Its density of states at the Fermi level is 0.5 states/eV/cell. The space group is P4/mmm (123).

Entry 5:
An optimized crystal structure of TiGeOs2, computed with GGA-PBE.

Lattice parameters (Å, degrees): 6.0399 6.0399 6.0399 153.40 138.23 50.21
Element x y z (fractional)
Ti: 0.0000 0.0000 0.0000
Ge: 0.5000 0.5000 0.0000
Os: 0.2832 0.2832 0.0000
Os: 0.7168 0.7168 0.0000

Calculated values
Its density of states at the Fermi level is 4.3 states/eV/cell. The space group is Immm (71).

Entry 6:
An optimized crystal structure of Ti4Ge4Os, computed with GGA-PBE.

Lattice parameters (Å, degrees): 6.1139 6.1139 6.1139 100.02 100.02 130.70
Element x y z (fractional)
Ti: 0.0986 0.7248 0.8233
Ti: 0.2752 0.0986 0.3738
Ti: 0.7248 0.9014 0.6262
Ti: 0.9014 0.2752 0.1767
Ge: 0.1972 0.4137 0.6109
Ge: 0.4137 0.8028 0.2166
Ge: 0.5863 0.1972 0.7834
Ge: 0.8028 0.5863 0.3891
Os: 0.5000 0.5000 0.0000

Calculated values
Its density of states at the Fermi level is 5.8 states/eV/cell. The space group is I4/m (87).

Entry 7:
An optimized crystal structure of TiGe2Os2, computed with GGA-PBE.

Lattice parameters (Å, degrees): 7.2377 7.2377 2.8975 90.00 90.00 90.00
Element x y z (fractional)
Ti: 0.0000 0.0000 0.0000
Ti: 0.5000 0.5000 0.0000
Ge: 0.1496 0.3504 0.0000
Ge: 0.3504 0.8504 0.0000
Ge: 0.6496 0.1496 0.0000
Ge: 0.8504 0.6496 0.0000
Os: 0.1482 0.6482 0.5000
Os: 0.3518 0.1482 0.5000
Os: 0.6482 0.8518 0.5000
Os: 0.8518 0.3518 0.5000

Calculated values
Its density of states at the Fermi level is 9.4 states/eV/cell. The space group is P4/mbm (127).

Entry 8:
An optimized crystal structure of Ti3Ge3Os, computed with GGA-PBE.

Lattice parameters (Å, degrees): 7.2508 7.2508 4.9621 90.00 90.00 120.00
Element x y z (fractional)
Ti: 0.0925 0.4508 0.2500
Ti: 0.3583 0.9075 0.2500
Ti: 0.4508 0.3583 0.7500
Ti: 0.5492 0.6417 0.2500
Ti: 0.6417 0.0925 0.7500
Ti: 0.9075 0.5492 0.7500
Ge: 0.0573 0.2702 0.7500
Ge: 0.2129 0.9427 0.7500
Ge: 0.2702 0.2129 0.2500
Ge: 0.7298 0.7871 0.7500
Ge: 0.7871 0.0573 0.2500
Ge: 0.9427 0.7298 0.2500
Os: 0.3333 0.6667 0.7500
Os: 0.6667 0.3333 0.2500

Calculated values
Its density of states at the Fermi level is 9.9 states/eV/cell. The space group is P6_3/m (176).

The evaluated spin magnetization for the records listed, in turn: 0.00; 0.00; 0.20; 0.00; 0.00; 0.00; 0.00; 0.00 μB per cell.
The evaluated total energy for the records listed, in turn: -7.18; -8.36; -5.81; -9.07; -8.38; -6.88; -7.91; -7.33 eV/atom.
The evaluated calculated formation energy for the records listed, in turn: 0.252; 0.384; 0.787; -0.330; 0.366; -0.075; 0.010; -0.364 eV/atom.